Computed, not measured: a geometry-optimized Sm5Ge2N structure at the PBE level of DFT.

Structure (POSCAR):
```
Sm5Ge2N
1.0
5.328 0.000 0.000
-2.664 5.220 0.000
0.000 0.000 14.623
Sm Ge N
10 4 2
direct
0.901 0.802 0.874
0.901 0.802 0.626
0.401 0.802 0.374
0.401 0.802 0.126
0.750 0.500 0.250
0.250 0.500 0.750
0.599 0.198 0.626
0.599 0.198 0.874
0.099 0.198 0.126
0.099 0.198 0.374
0.750 0.500 0.446
0.750 0.500 0.054
0.250 0.500 0.554
0.250 0.500 0.946
0.750 0.500 0.750
0.250 0.500 0.250
```

* density of states at the Fermi level: 0.89 states/eV/atom
* SG: Fmmm
* E_tot: -5.76 eV/atom
* crystal system: orthorhombic